Entry from Alexandria: a relaxed structure of TlCd2Re (PBE-GGA).

Calculated volume = 20.6 Å³/atom
Relative energy among the computed polymorphs = 100 meV/atom
Uncorrected energy = -0.1283 Ha/atom
Energy relative to the elements = 0.670 eV/atom

Unit cell a=5.673 b=5.673 c=5.309 alpha=80.08 beta=80.08 gamma=29.42
Element x y z (fractional)
Cd1 0.215 0.215 0.213
Cd2 0.978 0.978 0.054
Tl1 0.781 0.781 0.684
Re1 0.525 0.525 0.548

Entry from Alexandria: a relaxed structure of TlCd2Re (PBE-GGA).

Calculated volume = 20.2 Å³/atom
Relative energy among the computed polymorphs = 217 meV/atom
Uncorrected energy = -0.1240 Ha/atom
Energy relative to the elements = 0.787 eV/atom

Unit cell a=3.600 b=3.600 c=6.239 alpha=90.00 beta=90.00 gamma=90.00
Element x y z (fractional)
Cd1 0.000 0.000 0.013
Cd2 0.500 0.500 0.261
Tl1 0.500 0.500 0.726
Re1 0.000 0.000 0.500

Entry from Alexandria: a relaxed structure of TlCd2Re (PBE-GGA).

Calculated volume = 20.3 Å³/atom
Relative energy among the computed polymorphs = 145 meV/atom
Uncorrected energy = -0.1266 Ha/atom
Energy relative to the elements = 0.715 eV/atom

Unit cell a=5.478 b=2.876 c=5.150 alpha=89.64 beta=90.00 gamma=90.00
Element x y z (fractional)
Tl1 0.500 0.750 0.750
Cd1 0.000 0.006 0.008
Cd2 0.000 0.494 0.492
Re1 0.500 0.250 0.250

Entry from Alexandria: a relaxed structure of TlCdRe2 (PBE-GGA).

Calculated volume = 18.1 Å³/atom
Relative energy among the computed polymorphs = 544 meV/atom
Uncorrected energy = -0.2244 Ha/atom
Energy relative to the elements = 0.939 eV/atom

Unit cell a=5.106 b=5.106 c=5.128 alpha=79.67 beta=79.67 gamma=33.49
Element x y z (fractional)
Cd1 0.250 0.250 0.250
Tl1 0.750 0.750 0.750
Re1 0.001 0.001 0.028
Re2 0.499 0.499 0.472

Entry from Alexandria: a relaxed structure of Tl4CdRe (PBE-GGA).

Calculated volume = 28.8 Å³/atom
Uncorrected energy = -0.0995 Ha/atom
Energy relative to the elements = 1.096 eV/atom

Unit cell a=6.249 b=6.249 c=6.249 alpha=60.00 beta=60.00 gamma=60.00
Last column: magnetic moment on the atom in μB.
Element x y z (fractional)
Tl1 0.876 0.375 0.375  -0.02
Tl2 0.375 0.876 0.375  -0.02
Tl3 0.375 0.375 0.876  -0.02
Tl4 0.375 0.375 0.375  -0.02
Cd1 0.750 0.750 0.750  -0.01
Re1 0.000 0.000 0.000  3.20

Entry from Alexandria: a relaxed structure of TlCd2Re (PBE-GGA).

Calculated volume = 19.9 Å³/atom
Relative energy among the computed polymorphs = 210 meV/atom
Uncorrected energy = -0.1242 Ha/atom
Energy relative to the elements = 0.780 eV/atom

Unit cell a=4.468 b=4.225 c=4.225 alpha=90.00 beta=90.00 gamma=90.00
Last column: magnetic moment on the atom in μB.
Element x y z (fractional)
Cd1 0.000 0.000 0.000  -0.01
Cd2 0.000 0.500 0.500  -0.01
Re1 0.500 0.500 0.000  1.24
Tl1 0.500 0.000 0.500  -0.01

Entry from Alexandria: a relaxed structure of Tl3CdRe (PBE-GGA).

Calculated volume = 31.1 Å³/atom
Relative energy among the computed polymorphs = 0 meV/atom
Uncorrected energy = -0.1268 Ha/atom
Energy relative to the elements = 0.642 eV/atom

Unit cell a=5.379 b=5.379 c=5.379 alpha=90.00 beta=90.00 gamma=90.00
Element x y z (fractional)
Tl1 0.500 0.000 0.000
Tl2 0.000 0.500 0.000
Tl3 0.000 0.000 0.500
Re1 0.000 0.000 0.000
Cd1 0.500 0.500 0.500

Entry from Alexandria: a relaxed structure of TlCd2Re (PBE-GGA).

Calculated volume = 21.8 Å³/atom
Relative energy among the computed polymorphs = 393 meV/atom
Uncorrected energy = -0.1175 Ha/atom
Energy relative to the elements = 0.963 eV/atom

Unit cell a=4.112 b=4.112 c=10.727 alpha=78.95 beta=78.95 gamma=90.00
Last column: magnetic moment on the atom in μB.
Element x y z (fractional)
Tl1 0.750 0.250 0.500  -0.03
Tl2 0.000 0.000 0.000  -0.02
Cd1 0.375 0.399 0.750  0.00
Cd2 0.875 0.851 0.750  0.00
Cd3 0.149 0.625 0.250  0.01
Cd4 0.601 0.125 0.250  0.00
Re1 0.500 0.500 0.000  0.74
Re2 0.250 0.750 0.500  0.75

Entry from Alexandria: a relaxed structure of TlCdRe2 (PBE-GGA).

Calculated volume = 18.0 Å³/atom
Relative energy among the computed polymorphs = 605 meV/atom
Uncorrected energy = -0.2221 Ha/atom
Energy relative to the elements = 1.001 eV/atom

Unit cell a=2.989 b=4.897 c=4.925 alpha=90.00 beta=90.00 gamma=90.00
Element x y z (fractional)
Tl1 0.500 0.000 0.500
Re1 0.000 0.000 0.000
Re2 0.500 0.500 0.000
Cd1 0.000 0.500 0.500

Entry from Alexandria: a relaxed structure of TlCdRe2 (PBE-GGA).

Calculated volume = 18.1 Å³/atom
Relative energy among the computed polymorphs = 599 meV/atom
Uncorrected energy = -0.2223 Ha/atom
Energy relative to the elements = 0.995 eV/atom

Unit cell a=4.992 b=5.745 c=2.915 alpha=75.84 beta=88.81 gamma=115.41
Element x y z (fractional)
Re1 0.000 0.000 0.000
Re2 0.500 0.000 0.500
Tl1 0.000 0.500 0.500
Cd1 0.500 0.500 0.000

Entry from Alexandria: a relaxed structure of TlCdRe2 (PBE-GGA).

Calculated volume = 17.9 Å³/atom
Relative energy among the computed polymorphs = 594 meV/atom
Uncorrected energy = -0.2225 Ha/atom
Energy relative to the elements = 0.990 eV/atom

Unit cell a=9.758 b=9.758 c=9.758 alpha=17.29 beta=17.29 gamma=17.29
Element x y z (fractional)
Tl1 0.250 0.250 0.250
Re1 0.000 0.000 0.000
Re2 0.500 0.500 0.500
Cd1 0.750 0.750 0.750

Entry from Alexandria: a relaxed structure of TlCdRe2 (PBE-GGA).

Calculated volume = 18.5 Å³/atom
Relative energy among the computed polymorphs = 528 meV/atom
Uncorrected energy = -0.2249 Ha/atom
Energy relative to the elements = 0.923 eV/atom

Unit cell a=4.862 b=2.898 c=5.263 alpha=87.38 beta=90.00 gamma=90.00
Element x y z (fractional)
Re1 0.000 0.412 0.528
Re2 0.000 0.088 0.972
Cd1 0.500 0.750 0.750
Tl1 0.500 0.250 0.250

Q: Among the records above, which one has the lowest energy relative to the elements?
A: Tl3CdRe